[1]
Mg5Cu | PBE | relaxed

abc: 3.1670 3.1670 12.2783
angles: 90.00 90.00 90.00
Closest atoms and distances in Å follow each position.
Space group P4/mmm (No. 123)
Symmetry-distinct sites (fractional):
Mg: 0.0000 0.0000 0.0000 x1  12 Mg 3.17-3.20
Mg: 0.0000 0.0000 0.3726 x2  4 Cu 2.73
Mg: 0.5000 0.5000 0.1859 x2  12 Mg 3.17-3.21
Cu: 0.5000 0.5000 0.5000 x1  8 Mg 2.73

Summary:
Uncorrected energy ... -2.02 eV/atom
DFT formation energy ... -13 meV per atom


[2]
Co2Pd | PBE | relaxed

abc: 2.6297 3.5415 8.1012
angles: 90.00 90.00 90.00
Closest atoms and distances in Å follow each position.
Space group Immm (No. 71)
Symmetry-distinct sites (fractional):
Co: 0.0000 0.0000 0.1797 x4  6 Co 2.48-2.63, 5 Pd 2.59-2.64
Pd: 0.0000 0.0000 0.5000 x2  10 Co 2.59-2.64, 2 Pd 2.63

Summary:
Uncorrected energy ... -6.39 eV/atom
DFT formation energy ... 76 meV per atom


[3]
Ac8Tb4Y | PBE | relaxed

abc: 8.3271 8.3271 8.3271
angles: 90.00 90.00 90.00
Closest atoms and distances in Å follow each position.
Space group Pm-3m (No. 221)
Symmetry-distinct sites (fractional):
Ac: 0.2419 0.2419 0.2419 x8  4 Tb 3.49-3.65, 1 Y 3.72
Tb: 0.0000 0.0000 0.0000 x1  8 Ac 3.49
Tb: 0.0000 0.5000 0.5000 x3  8 Ac 3.65
Y: 0.5000 0.5000 0.5000 x1  8 Ac 3.72, 6 Tb 4.16

Summary:
Uncorrected energy ... -4.06 eV/atom
DFT formation energy ... 392 meV per atom


[4]
NpBeP2 | PBE | relaxed

abc: 4.2167 4.2167 19.9261
angles: 90.00 90.00 120.00
Closest atoms and distances in Å follow each position.
Space group R-3m (No. 166, hexagonal axes)
Symmetry-distinct sites (fractional):
Np: 0.0000 0.0000 0.0000 x3  6 P 2.77
Be: 0.0000 0.0000 0.5000 x3  2 P 1.99
P: 0.0000 0.0000 0.3999 x6  1 Be 1.99

Summary:
Uncorrected energy ... -6.95 eV/atom
DFT formation energy ... -75 meV per atom


[5]
La8Se6Br | PBE | relaxed

abc: 11.2501 11.2501 4.4242
angles: 90.00 90.00 120.00
Closest atoms and distances in Å follow each position.
Space group P-3 (No. 147)
Symmetry-distinct sites (fractional):
La: 0.0393 0.3514 0.2570 x6  4 Se 2.94-3.02
La: 0.3333 0.6667 0.7464 x2  6 Se 3.08-3.09
Se: 0.1368 0.6551 0.2457 x6  6 La 2.94-3.09
Br: 0.0000 0.0000 0.5000 x1  6 La 3.90

Summary:
Uncorrected energy ... -5.67 eV/atom
Formation energy without anion corrections ... -1.5325 eV/atom


[6]
SrAcAl4 | PBE | relaxed

abc: 4.7855 7.8674 8.1774
angles: 90.00 90.00 90.00
Closest atoms and distances in Å follow each position.
Space group Imm2 (No. 44)
Symmetry-distinct sites (fractional):
Sr: 0.0000 0.0000 0.0000 x2  12 Al 3.30-3.55
Ac: 0.0000 0.5000 0.0954 x2  12 Al 3.29-3.57
Al: 0.0000 0.1879 0.3869 x4  4 Al 2.78-2.96
Al: 0.0000 0.3137 0.7128 x4  4 Al 2.78-2.93

Summary:
Uncorrected energy ... -3.75 eV/atom
DFT formation energy ... -291 meV per atom


[7]
LaZrPPd2 | PBE | relaxed

abc: 4.9892 4.9892 5.4052
angles: 90.00 90.00 90.00
Closest atoms and distances in Å follow each position.
Space group P4/mmm (No. 123)
Symmetry-distinct sites (fractional):
La: 0.0000 0.0000 0.0000 x1  4 Pd 2.49, 2 P 2.70
Zr: 0.5000 0.5000 0.5000 x1  4 P 3.53, 8 Pd 3.68
P: 0.0000 0.0000 0.5000 x1  2 La 2.70
Pd: 0.0000 0.5000 0.0000 x2  2 La 2.49

Summary:
Uncorrected energy ... -5.23 eV/atom
DFT formation energy ... 621 meV per atom


[8]
NpCu2Br8 | PBE | relaxed

abc: 18.9643 8.4602 12.9094
angles: 90.00 129.81 90.00
Closest atoms and distances in Å follow each position.
Space group C2/c (No. 15)
Symmetry-distinct sites (fractional):
Np: 0.0000 0.0038 0.2500 x4  6 Br 2.69-2.73
Cu: 0.0881 0.2563 0.5114 x8  3 Br 2.29-2.43
Br: 0.0710 0.2344 0.1923 x8  1 Cu 2.43
Br: 0.0742 0.2224 0.6992 x8  1 Cu 2.62, 1 Np 2.69
Br: 0.1569 0.0131 0.5130 x8  1 Cu 2.43
Br: 0.1695 0.4871 0.5803 x8  1 Cu 2.29

Summary:
Uncorrected energy ... -3.81 eV/atom
Formation energy without anion corrections ... -0.6754 eV/atom


[9]
ZrBRh3 | PBE | relaxed

abc: 10.0704 5.7454 5.3066
angles: 90.00 110.72 90.00
Closest atoms and distances in Å follow each position.
Space group Cm (No. 8)
Symmetry-distinct sites (fractional):
Zr: 0.0000 0.0000 0.0000 x2  1 B 2.53, 3 Rh 2.68-2.82
Zr: 0.2291 0.5000 0.4149 x2  9 Rh 2.73-2.92
B: 0.1438 0.0000 0.6946 x2  5 Rh 2.01-2.10
B: 0.3865 0.0000 0.1873 x2  6 Rh 2.02-2.23
Rh: 0.0018 0.5000 0.9434 x2  1 B 2.02
Rh: 0.2426 0.0000 0.4255 x2  2 B 2.01-2.23
Rh: 0.2495 0.2595 0.9615 x4  2 B 2.07-2.10
Rh: 0.4930 0.2556 0.4741 x4  2 B 2.10-2.11

Summary:
Uncorrected energy ... -8.08 eV/atom
DFT formation energy ... -621 meV per atom


[10]
Cr2CuSb | PBE | relaxed

abc: 3.3157 3.3157 5.3715
angles: 90.00 90.00 90.00
Closest atoms and distances in Å follow each position.
Space group P4/mmm (No. 123)
Symmetry-distinct sites (fractional):
Cr: 0.0000 0.0000 0.1955 x2  1 Cr 2.10
Cu: 0.5000 0.5000 0.0000 x1  8 Cr 2.57, 2 Sb 2.69
Sb: 0.5000 0.5000 0.5000 x1  2 Cu 2.69, 8 Cr 2.86

Summary:
Uncorrected energy ... -6.36 eV/atom
Formation energy without anion corrections ... 0.5108 eV/atom


[11]
Ac4Rh3Pb8 | PBE | relaxed

abc: 4.8765 4.8765 18.9390
angles: 90.00 90.00 90.00
Closest atoms and distances in Å follow each position.
Space group P-4m2 (No. 115)
Symmetry-distinct sites (fractional):
Ac: 0.0000 0.5000 0.0879 x2  2 Rh 2.95
Ac: 0.0000 0.5000 0.6135 x2  4 Rh 3.25, 4 Pb 3.51
Rh: 0.0000 0.0000 0.0000 x1  4 Ac 2.95, 4 Pb 3.13
Rh: 0.0000 0.0000 0.5000 x1  4 Pb 2.87
Rh: 0.5000 0.5000 0.5000 x1  4 Pb 2.87
Pb: 0.0000 0.0000 0.2372 x2  6 Pb 3.45-3.51, 4 Ac 3.73
Pb: 0.0000 0.5000 0.4197 x2  4 Rh 2.87
Pb: 0.0000 0.5000 0.8963 x2  2 Rh 3.13, 4 Ac 3.46, 2 Pb 3.47
Pb: 0.5000 0.5000 0.2341 x2  6 Pb 3.45-3.47, 4 Ac 3.69-3.78

Summary:
Uncorrected energy ... -4.91 eV/atom
DFT formation energy ... -367 meV per atom


[12]
TmPd3 | PBE | relaxed

abc: 4.0943 4.0943 4.0943
angles: 90.00 90.00 90.00
Closest atoms and distances in Å follow each position.
Space group Pm-3m (No. 221)
Symmetry-distinct sites (fractional):
Tm: 0.0000 0.0000 0.0000 x1  12 Pd 2.90
Pd: 0.0000 0.5000 0.5000 x3  4 Tm 2.90, 8 Pd 2.90

Summary:
Uncorrected energy ... -5.92 eV/atom
DFT formation energy ... -906 meV per atom


[13]
CePaHgO6 | PBE | relaxed

abc: 5.3092 5.3092 10.3490
angles: 90.00 90.00 90.00
Closest atoms and distances in Å follow each position.
Space group P4_2nm (No. 102)
Symmetry-distinct sites (fractional):
Ce: 0.0000 0.0000 0.0000 x2  6 O 2.23-2.33
Pa: 0.0000 0.0000 0.3371 x2  6 O 2.12-2.26
Hg: 0.0000 0.0000 0.6699 x2  6 O 2.29-2.46
O: 0.1729 0.1729 0.1752 x4  1 Pa 2.12, 1 Ce 2.23
O: 0.1904 0.1904 0.4962 x4  1 Pa 2.18, 1 Hg 2.30, 1 Ce 2.33
O: 0.1987 0.1987 0.8373 x4  1 Ce 2.25, 1 Pa 2.26, 1 Hg 2.29

Summary:
Uncorrected energy ... -7.48 eV/atom
Formation energy without anion corrections ... -2.4225 eV/atom


[14]
ReRhO3 | PBE | relaxed

abc: 3.8667 3.8667 3.8667
angles: 90.00 90.00 90.00
Closest atoms and distances in Å follow each position.
Space group Pm-3m (No. 221)
Symmetry-distinct sites (fractional):
Re: 0.0000 0.0000 0.0000 x1  6 O 1.93
Rh: 0.5000 0.5000 0.5000 x1  12 O 2.73
O: 0.0000 0.0000 0.5000 x3  2 Re 1.93

Summary:
Uncorrected energy ... -7.39 eV/atom
Formation energy without anion corrections ... -0.4544 eV/atom


[15]
Tb3Cd4Hg2 | PBE | relaxed

abc: 8.1176 8.1176 3.8836
angles: 90.00 90.00 120.00
Closest atoms and distances in Å follow each position.
Space group P-62m (No. 189)
Symmetry-distinct sites (fractional):
Tb: 0.0000 0.5973 0.0000 x3  4 Hg 3.14, 7 Cd 3.27-3.48
Cd: 0.0000 0.0000 0.0000 x1  6 Cd 2.92, 3 Tb 3.27
Cd: 0.0000 0.2689 0.5000 x3  2 Cd 2.92, 2 Hg 3.00
Hg: 0.3333 0.6667 0.5000 x2  3 Cd 3.00, 6 Tb 3.14

Summary:
Uncorrected energy ... -2.41 eV/atom
DFT formation energy ... -389 meV per atom


[16]
Tb2Hg2Pd5 | PBE | relaxed

abc: 15.2155 7.3486 6.8609
angles: 90.00 90.00 90.00
Closest atoms and distances in Å follow each position.
Space group Ima2 (No. 46)
Symmetry-distinct sites (fractional):
Tb: 0.1201 0.0676 0.0000 x8  7 Pd 2.95-3.17, 2 Hg 3.17
Hg: 0.0000 0.0000 0.3705 x4  6 Pd 2.62-2.80
Hg: 0.2500 0.5220 0.1524 x4  6 Pd 2.78-2.87
Pd: 0.0111 0.6782 0.2064 x8  2 Hg 2.62-2.66, 2 Pd 2.64-2.68
Pd: 0.1617 0.6780 0.8363 x8  3 Pd 2.68-2.90, 3 Hg 2.80-2.87
Pd: 0.2500 0.1701 0.3002 x4  2 Hg 2.78-2.80, 2 Pd 2.90, 4 Tb 2.95-3.08

Summary:
Uncorrected energy ... -4.41 eV/atom
DFT formation energy ... -431 meV per atom


[17]
Sm6InOs2 | PBE | relaxed

abc: 9.6459 9.7919 10.6017
angles: 90.00 90.00 90.00
Closest atoms and distances in Å follow each position.
Space group Immm (No. 71)
Symmetry-distinct sites (fractional):
Sm: 0.0000 0.2068 0.2406 x8  1 Os 2.82
Sm: 0.1874 0.5000 0.1707 x8  3 Os 2.88-3.06
Sm: 0.2189 0.3147 0.5000 x8  3 Os 3.05, 1 In 3.26
In: 0.0000 0.0000 0.0000 x2  2 Os 3.22, 8 Sm 3.26
In: 0.0000 0.0000 0.5000 x2  12 Sm 3.41-3.74
Os: 0.0000 0.3285 0.0000 x4  8 Sm 2.82-3.06
Os: 0.0000 0.5000 0.3824 x4  1 Os 2.49

Summary:
Uncorrected energy ... -6.18 eV/atom
DFT formation energy ... -234 meV per atom


[18]
La2TiZnO6 | PBE | relaxed

abc: 5.6773 5.6773 13.5554
angles: 90.00 90.00 120.00
Closest atoms and distances in Å follow each position.
Space group R-3 (No. 148, hexagonal axes)
Symmetry-distinct sites (fractional):
La: 0.0000 0.0000 0.2499 x6  3 O 2.38
Ti: 0.0000 0.0000 0.0000 x3  6 O 1.97
Zn: 0.0000 0.0000 0.5000 x3  6 O 2.11
O: 0.0151 0.5884 0.7486 x18  1 Ti 1.97, 1 Zn 2.11

Summary:
Uncorrected energy ... -7.84 eV/atom
Formation energy without anion corrections ... -2.9630 eV/atom


[19]
DyErRh2 | PBE | relaxed

abc: 4.7603 4.7603 3.4978
angles: 90.00 90.00 90.00
Closest atoms and distances in Å follow each position.
Space group P4/mmm (No. 123)
Symmetry-distinct sites (fractional):
Dy: 0.0000 0.0000 0.0000 x1  8 Rh 2.95
Er: 0.5000 0.5000 0.0000 x1  8 Rh 2.95
Rh: 0.0000 0.5000 0.5000 x2  4 Er 2.95, 4 Dy 2.95

Summary:
Uncorrected energy ... -6.87 eV/atom
DFT formation energy ... -905 meV per atom


[20]
LiAc3Sn2 | PBE | relaxed

abc: 13.2279 4.8723 12.9210
angles: 90.00 90.00 90.00
Closest atoms and distances in Å follow each position.
Space group Pnma (No. 62)
Symmetry-distinct sites (fractional):
Li: 0.1249 0.2500 0.1213 x4  3 Sn 2.87-2.90
Ac: 0.0492 0.2500 0.3738 x4  1 Li 3.41, 5 Sn 3.48-3.55
Ac: 0.1316 0.7500 0.9310 x4  3 Li 3.46, 5 Sn 3.46-3.51
Ac: 0.2103 0.2500 0.6954 x4  2 Li 3.41, 4 Sn 3.50-3.55
Sn: 0.0224 0.7500 0.1757 x4  2 Li 2.87
Sn: 0.1898 0.7500 0.5009 x4  1 Li 2.90

Summary:
Uncorrected energy ... -4.28 eV/atom
DFT formation energy ... -572 meV per atom


[21]
CaHo4S7 | PBE | relaxed

abc: 12.8318 3.8224 11.6514
angles: 90.00 104.93 90.00
Closest atoms and distances in Å follow each position.
Space group Cm (No. 8)
Symmetry-distinct sites (fractional):
Ca: 0.0000 0.0000 0.0000 x2  6 S 2.76-2.88
Ho: 0.1218 0.0000 0.4189 x2  6 S 2.65-2.75
Ho: 0.2277 0.0000 0.8428 x2  6 S 2.66-2.77
Ho: 0.3159 0.5000 0.2300 x2  7 S 2.70-2.97
Ho: 0.4271 0.0000 0.6211 x2  6 S 2.69-2.92
S: 0.0764 0.0000 0.6310 x2  4 Ho 2.68-2.72
S: 0.1038 0.5000 0.8964 x2  2 Ho 2.66, 2 Ca 2.78
S: 0.1630 0.0000 0.2077 x2  3 Ho 2.65-2.70, 1 Ca 2.76
S: 0.2807 0.5000 0.4724 x2  5 Ho 2.75-2.97
S: 0.3499 0.5000 0.7685 x2  4 Ho 2.75-2.91, 1 Ca 2.88
S: 0.3668 0.0000 0.0683 x2  3 Ho 2.77-2.88, 2 Ca 2.81
S: 0.4632 0.0000 0.3714 x2  5 Ho 2.74-3.06

Summary:
Uncorrected energy ... -6.17 eV/atom
Formation energy without anion corrections ... -2.0655 eV/atom


| no. | magnetization (μB per formula unit) |
| --- | --- |
| 1 | 0.000 |
| 2 | 3.778 |
| 3 | 0.000 |
| 4 | 3.000 |
| 5 | 0.000 |
| 6 | 0.000 |
| 7 | 0.000 |
| 8 | 0.866 |
| 9 | 0.000 |
| 10 | 0.004 |
| 11 | 0.000 |
| 12 | 0.000 |
| 13 | 1.033 |
| 14 | 1.731 |
| 15 | 0.000 |
| 16 | 0.000 |
| 17 | 0.000 |
| 18 | 0.000 |
| 19 | 0.000 |
| 20 | 1.626 |
| 21 | 0.000 |